The following is a PBE calculation of a geometry-optimized NdInAg3Se4 structure, from the Open Quantum Materials Database.

a b c (Å): 6.4325 6.4325 6.4325
angles (deg): 90.00 90.00 90.00
Positions (direct):
Nd1 0.0000 0.0000 0.0000
In1 0.5000 0.5000 0.5000
Ag1 0.0000 0.0000 0.5000
Ag2 0.0000 0.5000 0.0000
Ag3 0.5000 0.0000 0.0000
Se1 0.2509 0.2509 0.7491
Se2 0.2509 0.7491 0.2509
Se3 0.7491 0.2509 0.2509
Se4 0.7491 0.7491 0.7491


The following is a PBE calculation of a geometry-optimized InNiAg2 structure, from the Open Quantum Materials Database.

a b c (Å): 4.5746 4.5746 4.5746
angles (deg): 60.00 60.00 60.00
Positions (direct):
In1 0.0000 0.0000 0.0000
Ni1 0.2500 0.2500 0.2500
Ag1 0.5000 0.5000 0.5000
Ag2 0.7500 0.7500 0.7500


The following is a PBE calculation of a geometry-optimized InNiAgPd structure, from the Open Quantum Materials Database.

a b c (Å): 4.5010 4.5010 4.5010
angles (deg): 60.00 60.00 60.00
Positions (direct):
In1 0.0000 0.0000 0.0000
Ni1 0.2500 0.2500 0.2500
Ag1 0.5000 0.5000 0.5000
Pd1 0.7500 0.7500 0.7500


The following is a PBE calculation of a geometry-optimized Pr3In3NiAgPd structure, from the Open Quantum Materials Database.

a b c (Å): 7.8216 7.8216 4.0541
angles (deg): 90.00 90.00 120.00
Positions (direct):
Pr1 0.0779 0.7336 0.0000
Pr2 0.2664 0.3443 0.0000
Pr3 0.6557 0.9221 0.0000
In1 0.4267 0.0915 0.5000
In2 0.6648 0.5733 0.5000
In3 0.9085 0.3352 0.5000
Ni1 0.6667 0.3333 0.0000
Ag1 0.0000 0.0000 0.5000
Pd1 0.3333 0.6667 0.5000


The following is a PBE calculation of a geometry-optimized Pr3In3NiAgPt structure, from the Open Quantum Materials Database.

a b c (Å): 7.8670 7.8670 4.0207
angles (deg): 90.00 90.00 120.00
Positions (direct):
Pr1 0.0835 0.7321 0.0000
Pr2 0.2679 0.3514 0.0000
Pr3 0.6486 0.9165 0.0000
In1 0.4238 0.0948 0.5000
In2 0.6710 0.5762 0.5000
In3 0.9052 0.3290 0.5000
Ni1 0.6667 0.3333 0.0000
Ag1 0.0000 0.0000 0.5000
Pt1 0.3333 0.6667 0.5000


The following is a PBE calculation of a geometry-optimized InNiAgS3 structure, from the Open Quantum Materials Database.

a b c (Å): 7.4619 7.4619 10.3237
angles (deg): 90.00 90.00 153.53
Positions (direct):
In1 0.1879 0.8121 0.7500
In2 0.8121 0.1879 0.2500
Ni1 0.0000 0.0000 0.0000
Ni2 0.0000 0.0000 0.5000
Ag1 0.4499 0.5501 0.7500
Ag2 0.5501 0.4499 0.2500
S1 0.1861 0.8139 0.2500
S2 0.4179 0.5821 0.0795
S3 0.4179 0.5821 0.4205
S4 0.5821 0.4179 0.5795
S5 0.5821 0.4179 0.9205
S6 0.8139 0.1861 0.7500


The following is a PBE calculation of a geometry-optimized InNiAgSeS2 structure, from the Open Quantum Materials Database.

a b c (Å): 7.1998 7.1998 10.2131
angles (deg): 90.00 90.00 153.05
Positions (direct):
In1 0.1745 0.8255 0.7500
In2 0.8255 0.1745 0.2500
Ni1 0.5000 0.5000 0.0000
Ni2 0.5000 0.5000 0.5000
Ag1 0.1615 0.8385 0.2500
Ag2 0.8385 0.1615 0.7500
Se1 0.4910 0.5090 0.2500
Se2 0.5090 0.4910 0.7500
S1 0.1084 0.8916 0.0054
S2 0.1084 0.8916 0.4946
S3 0.8916 0.1084 0.5054
S4 0.8916 0.1084 0.9946


The following is a PBE calculation of a geometry-optimized InNiAgSe2S structure, from the Open Quantum Materials Database.

a b c (Å): 6.6429 6.6429 10.6365
angles (deg): 90.00 90.00 148.35
Positions (direct):
In1 0.1607 0.8393 0.7500
In2 0.8393 0.1607 0.2500
Ni1 0.5000 0.5000 0.0000
Ni2 0.5000 0.5000 0.5000
Ag1 0.1599 0.8401 0.2500
Ag2 0.8401 0.1599 0.7500
Se1 0.1221 0.8779 0.0088
Se2 0.1221 0.8779 0.4912
Se3 0.8779 0.1221 0.5088
Se4 0.8779 0.1221 0.9912
S1 0.4882 0.5118 0.2500
S2 0.5118 0.4882 0.7500


The following is a PBE calculation of a geometry-optimized ScInNiAg structure, from the Open Quantum Materials Database.

a b c (Å): 4.6461 4.6461 4.6461
angles (deg): 60.00 60.00 60.00
Positions (direct):
Sc1 0.0000 0.0000 0.0000
In1 0.2500 0.2500 0.2500
Ni1 0.5000 0.5000 0.5000
Ag1 0.7500 0.7500 0.7500


The following is a PBE calculation of a geometry-optimized InNiAgSe3 structure, from the Open Quantum Materials Database.

a b c (Å): 6.8260 6.8260 11.0797
angles (deg): 90.00 90.00 149.29
Positions (direct):
In1 0.1987 0.8013 0.7500
In2 0.8013 0.1987 0.2500
Ni1 0.0000 0.0000 0.0000
Ni2 0.0000 0.0000 0.5000
Ag1 0.4891 0.5109 0.2500
Ag2 0.5109 0.4891 0.7500
Se1 0.1487 0.8513 0.2500
Se2 0.3869 0.6131 0.0395
Se3 0.3869 0.6131 0.4605
Se4 0.6131 0.3869 0.5395
Se5 0.6131 0.3869 0.9605
Se6 0.8513 0.1487 0.7500


The following is a PBE calculation of a geometry-optimized InNiAgTe2Se structure, from the Open Quantum Materials Database.

a b c (Å): 7.5104 7.5104 10.7265
angles (deg): 90.00 90.00 150.62
Positions (direct):
In1 0.2217 0.7783 0.7500
In2 0.7783 0.2217 0.2500
Ni1 0.0000 0.0000 0.0000
Ni2 0.0000 0.0000 0.5000
Ag1 0.4999 0.5001 0.2500
Ag2 0.5001 0.4999 0.7500
Te1 0.3856 0.6144 0.0402
Te2 0.3856 0.6144 0.4598
Te3 0.6144 0.3856 0.5402
Te4 0.6144 0.3856 0.9598
Se1 0.1378 0.8622 0.2500
Se2 0.8622 0.1378 0.7500


The following is a PBE calculation of a geometry-optimized InNiAgTeSe2 structure, from the Open Quantum Materials Database.

a b c (Å): 7.5547 7.5547 10.7308
angles (deg): 90.00 90.00 153.46
Positions (direct):
In1 0.1838 0.8162 0.7500
In2 0.8162 0.1838 0.2500
Ni1 0.5000 0.5000 0.0000
Ni2 0.5000 0.5000 0.5000
Ag1 0.1643 0.8357 0.2500
Ag2 0.8357 0.1643 0.7500
Te1 0.4955 0.5045 0.2500
Te2 0.5045 0.4955 0.7500
Se1 0.1116 0.8884 0.0032
Se2 0.1116 0.8884 0.4968
Se3 0.8884 0.1116 0.5032
Se4 0.8884 0.1116 0.9968


The following is a PBE calculation of a geometry-optimized Sm3In3NiAg2 structure, from the Open Quantum Materials Database.

a b c (Å): 7.8005 7.8005 4.0060
angles (deg): 90.00 90.00 120.00
Positions (direct):
Sm1 0.0000 0.4005 0.0000
Sm2 0.4005 0.0000 0.0000
Sm3 0.5995 0.5995 0.0000
In1 0.0000 0.7572 0.5000
In2 0.2428 0.2428 0.5000
In3 0.7572 0.0000 0.5000
Ni1 0.0000 0.0000 0.0000
Ag1 0.3333 0.6667 0.5000
Ag2 0.6667 0.3333 0.5000


The following is a PBE calculation of a geometry-optimized TaInNiAg structure, from the Open Quantum Materials Database.

a b c (Å): 4.5801 4.5801 4.5801
angles (deg): 60.00 60.00 60.00
Positions (direct):
Ta1 0.0000 0.0000 0.0000
In1 0.2500 0.2500 0.2500
Ni1 0.5000 0.5000 0.5000
Ag1 0.7500 0.7500 0.7500


The following is a PBE calculation of a geometry-optimized Tb3In3Ni2Ag structure, from the Open Quantum Materials Database.

a b c (Å): 7.5810 7.5810 3.9058
angles (deg): 90.00 90.00 120.00
Positions (direct):
Tb1 0.0000 0.5873 0.0000
Tb2 0.4127 0.4127 0.0000
Tb3 0.5873 0.0000 0.0000
In1 0.0000 0.2707 0.5000
In2 0.2707 0.0000 0.5000
In3 0.7293 0.7293 0.5000
Ni1 0.3333 0.6667 0.5000
Ni2 0.6667 0.3333 0.5000
Ag1 0.0000 0.0000 0.0000


The following is a PBE calculation of a geometry-optimized Tb3In3NiAg2 structure, from the Open Quantum Materials Database.

a b c (Å): 7.7634 7.7634 3.9037
angles (deg): 90.00 90.00 120.00
Positions (direct):
Tb1 0.0000 0.6027 0.0000
Tb2 0.3973 0.3973 0.0000
Tb3 0.6027 0.0000 0.0000
In1 0.0000 0.2463 0.5000
In2 0.2463 0.0000 0.5000
In3 0.7537 0.7537 0.5000
Ni1 0.0000 0.0000 0.0000
Ag1 0.3333 0.6667 0.5000
Ag2 0.6667 0.3333 0.5000


The following is a PBE calculation of a geometry-optimized TbTm2In3Ni2Ag structure, from the Open Quantum Materials Database.

a b c (Å): 3.8469 7.5457 7.5457
angles (deg): 120.04 90.00 90.00
Positions (direct):
Tb1 0.0000 0.0000 0.0000
Tm1 0.0000 0.4106 0.8224
Tm2 0.0000 0.8224 0.4106
In1 0.5000 0.1390 0.4129
In2 0.5000 0.4129 0.1390
In3 0.5000 0.6834 0.6834
Ni1 0.5000 0.0793 0.7432
Ni2 0.5000 0.7432 0.0793
Ag1 0.0000 0.4128 0.4128


The following is a PBE calculation of a geometry-optimized TbY2In3Ni2Ag structure, from the Open Quantum Materials Database.

a b c (Å): 3.8057 7.6567 7.6567
angles (deg): 119.92 90.00 90.00
Positions (direct):
Tb1 0.0000 0.0000 0.0000
Y1 0.0000 0.4120 0.8234
Y2 0.0000 0.8234 0.4120
In1 0.5000 0.1385 0.4123
In2 0.5000 0.4123 0.1385
In3 0.5000 0.6852 0.6852
Ni1 0.5000 0.0787 0.7460
Ni2 0.5000 0.7460 0.0787
Ag1 0.0000 0.4120 0.4120


The following is a PBE calculation of a geometry-optimized InNiAgTe3 structure, from the Open Quantum Materials Database.

a b c (Å): 7.0851 7.0851 11.4761
angles (deg): 90.00 90.00 148.14
Positions (direct):
In1 0.2032 0.7968 0.7500
In2 0.7968 0.2032 0.2500
Ni1 0.5000 0.5000 0.0000
Ni2 0.5000 0.5000 0.5000
Ag1 0.1418 0.8582 0.2500
Ag2 0.8582 0.1418 0.7500
Te1 0.1228 0.8772 0.0075
Te2 0.1228 0.8772 0.4925
Te3 0.4752 0.5248 0.2500
Te4 0.5248 0.4752 0.7500
Te5 0.8772 0.1228 0.5075
Te6 0.8772 0.1228 0.9925


The following is a PBE calculation of a geometry-optimized Tm3In3NiAg2 structure, from the Open Quantum Materials Database.

a b c (Å): 7.7159 7.7159 3.8045
angles (deg): 90.00 90.00 120.00
Positions (direct):
Tm1 0.0000 0.3966 0.0000
Tm2 0.3966 0.0000 0.0000
Tm3 0.6034 0.6034 0.0000
In1 0.0000 0.7497 0.5000
In2 0.2503 0.2503 0.5000
In3 0.7497 0.0000 0.5000
Ni1 0.0000 0.0000 0.0000
Ag1 0.3333 0.6667 0.5000
Ag2 0.6667 0.3333 0.5000


Number 1: E_tot -34.55 eV/cell. Number 2: E_tot -13.78 eV/cell. Number 3: E_tot -16.95 eV/cell. Number 4: E_tot -41.16 eV/cell. Number 5: E_tot -42.66 eV/cell. Number 6: E_tot -48.14 eV/cell. Number 7: E_tot -48.02 eV/cell. Number 8: E_tot -46.75 eV/cell. Number 9: E_tot -18.18 eV/cell. Number 10: E_tot -44.13 eV/cell. Number 11: E_tot -42.03 eV/cell. Number 12: E_tot -44.58 eV/cell. Number 13: E_tot -37.61 eV/cell. Number 14: E_tot -21.41 eV/cell. Number 15: E_tot -40.25 eV/cell. Number 16: E_tot -37.45 eV/cell. Number 17: E_tot -39.87 eV/cell. Number 18: E_tot -43.97 eV/cell. Number 19: E_tot -42.43 eV/cell. Number 20: E_tot -36.89 eV/cell.